The following is a PBE calculation of an optimized crystal structure of InNi, from Alexandria via LeMat-Bulk.

Cell: 5.285 5.285 4.383 Å, 90.00 90.00 120.00°
Positions (direct):
In (0.000, 0.000, 0.000)
In (0.333, 0.667, 0.500)
In (0.667, 0.333, 0.500)
Ni (0.000, 0.500, 0.000)
Ni (0.500, 0.000, 0.000)
Ni (0.500, 0.500, 0.000)

Values from the calculation:
The final energy is -8.9 eV/f.u. As for the density of states at the Fermi level: 3.0 states/eV per cell. Its formation energy is -0.36 eV per formula unit.